A plane-wave DFT calculation with PBE was carried out for crystalline Tl2ZnPdCl6 at its relaxed geometry.

```
data_Tl2ZnPdCl6
_chemical_formula_sum 'Tl12 Zn6 Pd6 Cl36'
_symmetry_space_group_name_H-M 'R -3 m'
_symmetry_Int_Tables_number 166
_symmetry_space_group_name_Hall '-R 3 2"'
_cell_length_a 7.0472
_cell_length_b 7.0472
_cell_length_c 36.1568
_cell_angle_alpha 90.00
_cell_angle_beta 90.00
_cell_angle_gamma 120.00
loop_
_atom_site_label
_atom_site_fract_x
_atom_site_fract_y
_atom_site_fract_z
_atom_site_occupancy
Tl1 0.0000 0.0000 0.1164 1
Tl2 0.0000 0.0000 0.2970 1
Zn1 0.0000 0.0000 0.4154 1
Pd1 0.0000 0.0000 0.0000 1
Pd2 0.0000 0.0000 0.5000 1
Cl1 0.0046 0.5023 0.2938 1
Cl2 0.0111 0.5055 0.1220 1
```

=====

A plane-wave DFT calculation with PBE was carried out for crystalline TmPdCl at its relaxed geometry.

```
data_TmPdCl
_chemical_formula_sum 'Tm8 Pd8 Cl8'
_symmetry_space_group_name_H-M 'C 1 2/m 1'
_symmetry_Int_Tables_number 12
_symmetry_space_group_name_Hall '-C 2y'
_cell_length_a 21.408
_cell_length_b 3.922
_cell_length_c 7.563
_cell_angle_alpha 90.00
_cell_angle_beta 93.92
_cell_angle_gamma 90.00
loop_
_atom_site_label
_atom_site_fract_x
_atom_site_fract_y
_atom_site_fract_z
_atom_site_occupancy
Tm1 0.153 0.000 0.100 1
Tm2 0.158 0.000 0.614 1
Pd1 0.244 0.500 0.123 1
Pd2 0.250 0.000 0.374 1
Cl1 0.071 0.000 0.345 1
Cl2 0.089 0.500 0.849 1
```

=====

A plane-wave DFT calculation with PBE was carried out for crystalline TmPdCl6 at its relaxed geometry.

```
data_TmPdCl6
_chemical_formula_sum 'Tm1 Pd1 Cl6'
_symmetry_space_group_name_H-M 'P -1'
_symmetry_Int_Tables_number 2
_symmetry_space_group_name_Hall '-P 1'
_cell_length_a 6.251
_cell_length_b 6.321
_cell_length_c 6.740
_cell_angle_alpha 62.19
_cell_angle_beta 89.70
_cell_angle_gamma 62.77
loop_
_atom_site_label
_atom_site_fract_x
_atom_site_fract_y
_atom_site_fract_z
_atom_site_occupancy
Tm1 0.000 0.000 0.000 1
Pd1 0.500 0.000 0.500 1
Cl1 0.095 0.496 0.249 1
Cl2 0.272 0.830 0.744 1
Cl3 0.419 0.848 0.263 1
```

=====

A plane-wave DFT calculation with PBE was carried out for crystalline Tm2PdCl at its relaxed geometry.

```
data_Tm2PdCl
_chemical_formula_sum 'Tm6 Pd3 Cl3'
_symmetry_space_group_name_H-M 'R 3 m'
_symmetry_Int_Tables_number 160
_symmetry_space_group_name_Hall 'R 3 -2"'
_cell_length_a 3.9243
_cell_length_b 3.9243
_cell_length_c 22.8067
_cell_angle_alpha 90.00
_cell_angle_beta 90.00
_cell_angle_gamma 120.00
loop_
_atom_site_label
_atom_site_fract_x
_atom_site_fract_y
_atom_site_fract_z
_atom_site_occupancy
Tm1 0.0000 0.0000 0.0000 1
Tm2 0.0000 0.0000 0.1971 1
Pd1 0.0000 0.0000 0.5994 1
Cl1 0.0000 0.0000 0.7740 1
```

=====

Formation energy from raw total energies, record by record: -0.80; -1.26; -1.21; -1.03 eV/atom
Volume, record by record: 1555.1; 633.5; 202.0; 304.2 Å³/cell
Magnetization, record by record: 1.1; 0.0; 1.0; 0.0 μB/f.u.